Here is a relaxed PrCd2TeO6 crystal from Alexandria via LeMat-Bulk. Energies are from PBE-GGA.

```
data_PrCd2TeO6
_chemical_formula_sum 'Pr1 Cd2 Te1 O6'
_space_group_name_H-M_alt 'P 1'
_space_group_IT_number 1
_space_group_name_Hall 'P 1'
_cell_length_a 5.8041
_cell_length_b 5.8042
_cell_length_c 6.1063
_cell_angle_alpha 61.62
_cell_angle_beta 61.62
_cell_angle_gamma 60.00
loop_
_atom_site_label
_atom_site_type_symbol
_atom_site_fract_x
_atom_site_fract_y
_atom_site_fract_z
Pr1 Pr 0.8096 0.8096 0.5710
Cd1 Cd 0.5391 0.5391 0.3827
Cd2 Cd 0.0271 0.0271 0.9186
Te1 Te 0.3198 0.3198 0.0406
O1 O 0.5810 0.2117 0.2486
O2 O 0.2117 0.9586 0.2487
O3 O 0.9586 0.5810 0.2486
O4 O 0.4141 0.6751 0.7856
O5 O 0.6751 0.1255 0.7853
O6 O 0.1255 0.4141 0.7854
```

Crystal system: trigonal
Total DFT energy (no corrections) (eV per atom): -5.5242
Space-group type: R3